#i
A relaxed Al7Ag5 crystal. Source: Alexandria, functional PBE. Values from VASP.

```
&SYSTEM
  ibrav = 0, nat = 12, ntyp = 2
/
ATOMIC_SPECIES
Al 26.98 Al.upf
Ag 107.87 Ag.upf
ATOMIC_POSITIONS crystal
Al 0.000 0.000 0.000
Al 0.000 0.500 0.000
Al 0.171 0.497 0.331
Al 0.333 0.999 0.668
Al 0.500 0.000 0.000
Al 0.667 0.001 0.332
Al 0.829 0.503 0.669
Ag 0.167 0.997 0.332
Ag 0.326 0.499 0.663
Ag 0.500 0.500 0.000
Ag 0.674 0.501 0.337
Ag 0.833 0.003 0.668
CELL_PARAMETERS angstrom
5.528 0.000 0.000
2.396 5.032 0.000
0.866 2.161 7.402
```

Computed properties:
V = 206 Å³ per cell
M_tot = 0.0000 μB/atom


#ii
A relaxed Al7Ag5 crystal. Source: Alexandria, functional PBE. Values from VASP.

```
&SYSTEM
  ibrav = 0, nat = 12, ntyp = 2
/
ATOMIC_SPECIES
Al 26.98 Al.upf
Ag 107.87 Ag.upf
ATOMIC_POSITIONS crystal
Al 0.000 0.000 0.000
Al 0.003 0.500 0.508
Al 0.169 0.000 0.334
Al 0.331 0.500 0.176
Al 0.502 0.000 0.998
Al 0.506 0.500 0.508
Al 0.848 0.500 0.176
Ag 0.178 0.500 0.850
Ag 0.330 0.000 0.658
Ag 0.660 0.000 0.321
Ag 0.675 0.500 0.849
Ag 0.833 0.000 0.664
CELL_PARAMETERS angstrom
6.168 0.000 0.000
0.000 3.934 0.000
-3.073 0.000 8.390
```

Computed properties:
V = 204 Å³ per cell
M_tot = 0.0000 μB/atom


#iii
A relaxed Al7Ag5 crystal. Source: Alexandria, functional PBE. Values from VASP.

```
&SYSTEM
  ibrav = 0, nat = 12, ntyp = 2
/
ATOMIC_SPECIES
Al 26.98 Al.upf
Ag 107.87 Ag.upf
ATOMIC_POSITIONS crystal
Al 0.000 0.000 0.000
Al 0.006 0.500 0.497
Al 0.165 0.500 0.827
Al 0.336 0.000 0.667
Al 0.347 0.500 0.170
Al 0.514 0.500 0.504
Al 0.847 0.000 0.664
Ag 0.186 0.000 0.346
Ag 0.482 0.000 0.995
Ag 0.675 0.000 0.341
Ag 0.675 0.500 0.821
Ag 0.850 0.500 0.162
CELL_PARAMETERS angstrom
5.834 0.000 0.000
0.000 3.966 0.000
-2.777 0.000 8.794
```

Computed properties:
V = 203 Å³ per cell
M_tot = 0.0000 μB/atom


#iv
A relaxed Al7Ag5 crystal. Source: Alexandria, functional PBE. Values from VASP.

```
&SYSTEM
  ibrav = 0, nat = 12, ntyp = 2
/
ATOMIC_SPECIES
Al 26.98 Al.upf
Ag 107.87 Ag.upf
ATOMIC_POSITIONS crystal
Al 0.000 0.000 0.000
Al 0.000 0.332 0.331
Al 0.246 0.337 0.834
Al 0.249 0.001 0.503
Al 0.502 0.346 0.337
Al 0.731 0.666 0.150
Al 0.752 0.001 0.497
Ag 0.234 0.668 0.164
Ag 0.502 0.018 0.017
Ag 0.507 0.674 0.672
Ag 0.742 0.318 0.822
Ag 0.995 0.667 0.646
CELL_PARAMETERS angstrom
5.615 0.000 0.000
-0.986 6.364 0.000
-2.770 -1.433 5.720
```

Computed properties:
V = 204 Å³ per cell
M_tot = 0.0000 μB/atom


Relative energy of each structure, in kJ/mol of atoms: #i 2.3; #ii 0.0; #iii 0.8; #iv 1.8.


#i
A relaxed Al7Ag4 crystal. Source: Alexandria, functional PBE. Values from VASP.

```
&SYSTEM
  ibrav = 0, nat = 11, ntyp = 2
/
ATOMIC_SPECIES
Al 26.98 Al.upf
Ag 107.87 Ag.upf
ATOMIC_POSITIONS crystal
Al 0.000 0.000 0.000
Al 0.083 0.844 0.637
Al 0.369 0.292 0.545
Al 0.457 0.095 0.182
Al 0.545 0.926 0.824
Al 0.732 0.552 0.093
Al 0.824 0.380 0.731
Ag 0.192 0.648 0.271
Ag 0.278 0.459 0.903
Ag 0.631 0.752 0.469
Ag 0.909 0.199 0.364
CELL_PARAMETERS angstrom
4.968 0.000 0.000
0.824 5.053 0.000
0.777 -0.108 7.438
```

Computed properties:
V = 187 Å³ per cell
M_tot = 0.0000 μB/atom


#ii
A relaxed Al7Ag4 crystal. Source: Alexandria, functional PBE. Values from VASP.

```
&SYSTEM
  ibrav = 0, nat = 11, ntyp = 2
/
ATOMIC_SPECIES
Al 26.98 Al.upf
Ag 107.87 Ag.upf
ATOMIC_POSITIONS crystal
Al 0.000 0.000 0.000
Al 0.091 0.091 0.731
Al 0.182 0.182 0.452
Al 0.455 0.455 0.633
Al 0.545 0.545 0.367
Al 0.818 0.818 0.548
Al 0.909 0.909 0.269
Ag 0.277 0.277 0.195
Ag 0.368 0.368 0.905
Ag 0.632 0.632 0.095
Ag 0.723 0.723 0.805
CELL_PARAMETERS angstrom
9.374 -1.452 0.000
9.374 1.452 0.000
-1.672 0.000 6.803
```

Computed properties:
V = 185 Å³ per cell
M_tot = 0.0000 μB/atom


Relative energy of each structure, in kJ/mol of atoms: #i 0.8; #ii 0.0.


#i
A relaxed Al2Ag5 crystal. Source: Alexandria, functional PBE. Values from VASP.

```
&SYSTEM
  ibrav = 0, nat = 7, ntyp = 2
/
ATOMIC_SPECIES
Al 26.98 Al.upf
Ag 107.87 Ag.upf
ATOMIC_POSITIONS crystal
Al 0.144 0.144 0.000
Al 0.856 0.856 0.000
Ag 0.000 0.000 0.000
Ag 0.289 0.289 0.000
Ag 0.422 0.422 0.000
Ag 0.578 0.578 0.000
Ag 0.711 0.711 0.000
CELL_PARAMETERS angstrom
-1.544 1.544 12.576
1.544 -1.544 12.576
1.544 1.544 -12.576
```

Computed properties:
V = 120 Å³ per cell
M_tot = 0.0000 μB/atom


#ii
A relaxed Al2Ag5 crystal. Source: Alexandria, functional PBE. Values from VASP.

```
&SYSTEM
  ibrav = 0, nat = 7, ntyp = 2
/
ATOMIC_SPECIES
Al 26.98 Al.upf
Ag 107.87 Ag.upf
ATOMIC_POSITIONS crystal
Al 0.213 0.213 0.140
Al 0.787 0.787 0.860
Ag 0.076 0.076 0.724
Ag 0.358 0.358 0.574
Ag 0.500 0.500 0.000
Ag 0.642 0.642 0.426
Ag 0.924 0.924 0.276
CELL_PARAMETERS angstrom
2.567 -1.471 0.000
2.567 1.471 0.000
-1.703 0.000 16.060
```

Computed properties:
V = 121 Å³ per cell
M_tot = 0.0000 μB/atom


#iii
A relaxed Al2Ag5 crystal. Source: Alexandria, functional PBE. Values from VASP.

```
&SYSTEM
  ibrav = 0, nat = 14, ntyp = 2
/
ATOMIC_SPECIES
Al 26.98 Al.upf
Ag 107.87 Ag.upf
ATOMIC_POSITIONS crystal
Al 0.120 0.226 0.346
Al 0.380 0.726 0.106
Al 0.620 0.274 0.894
Al 0.880 0.774 0.654
Ag 0.019 0.750 0.269
Ag 0.095 0.827 0.922
Ag 0.250 0.750 0.500
Ag 0.405 0.327 0.732
Ag 0.481 0.750 0.731
Ag 0.519 0.250 0.269
Ag 0.595 0.673 0.268
Ag 0.750 0.250 0.500
Ag 0.905 0.173 0.078
Ag 0.981 0.250 0.731
CELL_PARAMETERS angstrom
-3.324 6.286 2.948
3.324 -6.286 2.948
3.324 6.286 -2.948
```

Computed properties:
V = 246 Å³ per cell
M_tot = 0.0000 μB/atom


#iv
A relaxed Al2Ag5 crystal. Source: Alexandria, functional PBE. Values from VASP.

```
&SYSTEM
  ibrav = 0, nat = 7, ntyp = 2
/
ATOMIC_SPECIES
Al 26.98 Al.upf
Ag 107.87 Ag.upf
ATOMIC_POSITIONS crystal
Al 0.083 0.150 0.287
Al 0.917 0.850 0.713
Ag 0.206 0.399 0.862
Ag 0.346 0.710 0.445
Ag 0.500 0.000 0.000
Ag 0.654 0.290 0.555
Ag 0.794 0.601 0.138
CELL_PARAMETERS angstrom
4.821 0.000 0.000
-1.306 4.957 0.000
-0.529 -0.984 5.023
```

Computed properties:
V = 120 Å³ per cell
M_tot = 0.0000 μB/atom


Relative energy of each structure, in kJ/mol of atoms: #i 0.5; #ii 3.3; #iii 2.6; #iv 0.0.


#i
A relaxed Al2Ag13 crystal. Source: Alexandria, functional PBE. Values from VASP.

```
&SYSTEM
  ibrav = 0, nat = 15, ntyp = 2
/
ATOMIC_SPECIES
Al 26.98 Al.upf
Ag 107.87 Ag.upf
ATOMIC_POSITIONS crystal
Al 0.132 0.132 0.132
Al 0.868 0.868 0.868
Ag 0.000 0.000 0.000
Ag 0.108 0.108 0.495
Ag 0.108 0.495 0.108
Ag 0.259 0.259 0.633
Ag 0.259 0.633 0.259
Ag 0.367 0.741 0.741
Ag 0.495 0.108 0.108
Ag 0.505 0.892 0.892
Ag 0.633 0.259 0.259
Ag 0.741 0.367 0.741
Ag 0.741 0.741 0.367
Ag 0.892 0.505 0.892
Ag 0.892 0.892 0.505
CELL_PARAMETERS angstrom
3.726 2.151 6.481
-3.726 2.151 6.481
0.000 -4.302 6.481
```

Computed properties:
V = 312 Å³ per cell
M_tot = 0.0000 μB/atom


#ii
A relaxed Al2Ag13 crystal. Source: Alexandria, functional PBE. Values from VASP.

```
&SYSTEM
  ibrav = 0, nat = 15, ntyp = 2
/
ATOMIC_SPECIES
Al 26.98 Al.upf
Ag 107.87 Ag.upf
ATOMIC_POSITIONS crystal
Al 0.070 0.139 0.395
Al 0.930 0.861 0.605
Ag 0.000 0.000 0.000
Ag 0.135 0.252 0.787
Ag 0.199 0.397 0.198
Ag 0.262 0.525 0.598
Ag 0.333 0.664 0.003
Ag 0.385 0.805 0.409
Ag 0.469 0.929 0.798
Ag 0.531 0.071 0.202
Ag 0.615 0.195 0.591
Ag 0.667 0.336 0.997
Ag 0.738 0.475 0.402
Ag 0.801 0.603 0.802
Ag 0.865 0.748 0.213
CELL_PARAMETERS angstrom
5.016 0.000 0.000
-0.091 7.152 0.000
-0.791 -2.415 7.343
```

Computed properties:
V = 263 Å³ per cell
M_tot = 0.0000 μB/atom


Relative energy of each structure, in kJ/mol of atoms: #i 19.1; #ii 0.0.


#i
A relaxed Al7Ag3 crystal. Source: Alexandria, functional PBE. Values from VASP.

```
&SYSTEM
  ibrav = 0, nat = 10, ntyp = 2
/
ATOMIC_SPECIES
Al 26.98 Al.upf
Ag 107.87 Ag.upf
ATOMIC_POSITIONS crystal
Al 0.000 0.000 0.000
Al 0.102 0.210 0.702
Al 0.304 0.595 0.097
Al 0.404 0.808 0.801
Al 0.596 0.192 0.199
Al 0.696 0.405 0.903
Al 0.898 0.790 0.298
Ag 0.189 0.388 0.389
Ag 0.500 0.000 0.500
Ag 0.811 0.612 0.611
CELL_PARAMETERS angstrom
4.980 0.000 0.000
-0.814 4.924 0.000
-1.554 -2.723 6.875
```

Computed properties:
V = 169 Å³ per cell
M_tot = 0.0000 μB/atom


#ii
A relaxed Al7Ag3 crystal. Source: Alexandria, functional PBE. Values from VASP.

```
&SYSTEM
  ibrav = 0, nat = 10, ntyp = 2
/
ATOMIC_SPECIES
Al 26.98 Al.upf
Ag 107.87 Ag.upf
ATOMIC_POSITIONS crystal
Al 0.000 0.000 0.000
Al 0.200 0.200 0.609
Al 0.399 0.399 0.193
Al 0.400 0.400 0.693
Al 0.600 0.600 0.307
Al 0.601 0.601 0.807
Al 0.800 0.800 0.391
Ag 0.000 0.000 0.500
Ag 0.199 0.199 0.112
Ag 0.801 0.801 0.888
CELL_PARAMETERS angstrom
10.254 -1.444 0.000
10.254 1.444 0.000
-1.042 0.000 5.697
```

Computed properties:
V = 169 Å³ per cell
M_tot = 0.0000 μB/atom


Relative energy of each structure, in kJ/mol of atoms: #i 0.0; #ii 1.8.


#i
A relaxed Al5Ag2 crystal. Source: Alexandria, functional PBE. Values from VASP.

```
&SYSTEM
  ibrav = 0, nat = 7, ntyp = 2
/
ATOMIC_SPECIES
Al 26.98 Al.upf
Ag 107.87 Ag.upf
ATOMIC_POSITIONS crystal
Al 0.000 0.000 0.000
Al 0.145 0.145 0.000
Al 0.285 0.285 0.000
Al 0.715 0.715 0.000
Al 0.855 0.855 0.000
Ag 0.428 0.428 0.000
Ag 0.572 0.572 0.000
CELL_PARAMETERS angstrom
-1.452 1.452 13.918
1.452 -1.452 13.918
1.452 1.452 -13.918
```

Computed properties:
V = 117 Å³ per cell
M_tot = 0.0000 μB/atom


#ii
A relaxed Al5Ag2 crystal. Source: Alexandria, functional PBE. Values from VASP.

```
&SYSTEM
  ibrav = 0, nat = 7, ntyp = 2
/
ATOMIC_SPECIES
Al 26.98 Al.upf
Ag 107.87 Ag.upf
ATOMIC_POSITIONS crystal
Al 0.000 0.000 0.000
Al 0.145 0.286 0.426
Al 0.288 0.575 0.857
Al 0.712 0.425 0.143
Al 0.855 0.714 0.574
Ag 0.423 0.848 0.287
Ag 0.577 0.152 0.713
CELL_PARAMETERS angstrom
4.043 0.000 0.000
-1.811 4.507 0.000
-0.190 -0.813 6.557
```

Computed properties:
V = 119 Å³ per cell
M_tot = 0.0000 μB/atom


Relative energy of each structure, in kJ/mol of atoms: #i 0.0; #ii 1.6.


#i
A relaxed Al5Ag2 crystal. Source: Alexandria, functional PBE. Values from VASP.

```
&SYSTEM
  ibrav = 0, nat = 7, ntyp = 2
/
ATOMIC_SPECIES
Al 26.98 Al.upf
Ag 107.87 Ag.upf
ATOMIC_POSITIONS crystal
Al 0.000 0.000 0.000
Al 0.288 0.144 0.567
Al 0.427 0.719 0.864
Al 0.573 0.281 0.136
Al 0.712 0.856 0.433
Ag 0.147 0.578 0.289
Ag 0.853 0.422 0.711
CELL_PARAMETERS angstrom
4.983 0.000 0.000
-0.888 4.915 0.000
-0.890 -1.083 4.840
```

Computed properties:
V = 119 Å³ per cell
M_tot = 0.0000 μB/atom


#ii
A relaxed Al5Ag2 crystal. Source: Alexandria, functional PBE. Values from VASP.

```
&SYSTEM
  ibrav = 0, nat = 7, ntyp = 2
/
ATOMIC_SPECIES
Al 26.98 Al.upf
Ag 107.87 Ag.upf
ATOMIC_POSITIONS crystal
Al 0.000 0.000 0.000
Al 0.143 0.143 0.143
Al 0.285 0.285 0.285
Al 0.715 0.715 0.715
Al 0.857 0.857 0.857
Ag 0.429 0.429 0.429
Ag 0.571 0.571 0.571
CELL_PARAMETERS angstrom
1.465 0.846 15.874
-1.465 0.846 15.874
0.000 -1.691 15.874
```

Computed properties:
V = 118 Å³ per cell
M_tot = 0.0000 μB/atom


#iii
A relaxed Al5Ag2 crystal. Source: Alexandria, functional PBE. Values from VASP.

```
&SYSTEM
  ibrav = 0, nat = 7, ntyp = 2
/
ATOMIC_SPECIES
Al 26.98 Al.upf
Ag 107.87 Ag.upf
ATOMIC_POSITIONS crystal
Al 0.000 0.000 0.000
Al 0.146 0.145 0.712
Al 0.284 0.283 0.431
Al 0.716 0.717 0.569
Al 0.854 0.855 0.288
Ag 0.424 0.423 0.146
Ag 0.576 0.577 0.854
CELL_PARAMETERS angstrom
2.860 0.000 0.000
0.004 4.115 0.000
1.393 1.776 10.031
```

Computed properties:
V = 118 Å³ per cell
M_tot = 0.0000 μB/atom


Relative energy of each structure, in kJ/mol of atoms: #i 2.7; #ii 0.0; #iii 2.0.


#i
A relaxed Al5Ag2 crystal. Source: Alexandria, functional PBE. Values from VASP.

```
&SYSTEM
  ibrav = 0, nat = 14, ntyp = 2
/
ATOMIC_SPECIES
Al 26.98 Al.upf
Ag 107.87 Ag.upf
ATOMIC_POSITIONS crystal
Al 0.001 0.999 0.750
Al 0.216 0.216 0.108
Al 0.216 0.216 0.608
Al 0.431 0.432 0.465
Al 0.432 0.431 0.965
Al 0.568 0.569 0.035
Al 0.569 0.568 0.535
Al 0.784 0.784 0.392
Al 0.784 0.784 0.892
Al 0.999 0.001 0.250
Ag 0.134 0.138 0.818
Ag 0.138 0.134 0.318
Ag 0.862 0.866 0.682
Ag 0.866 0.862 0.182
CELL_PARAMETERS angstrom
14.620 -1.477 0.000
14.620 1.477 0.000
-0.541 0.000 5.648
```

Computed properties:
V = 244 Å³ per cell
M_tot = 0.0000 μB/atom


#ii
A relaxed Al5Ag2 crystal. Source: Alexandria, functional PBE. Values from VASP.

```
&SYSTEM
  ibrav = 0, nat = 7, ntyp = 2
/
ATOMIC_SPECIES
Al 26.98 Al.upf
Ag 107.87 Ag.upf
ATOMIC_POSITIONS crystal
Al 0.000 0.000 0.000
Al 0.282 0.564 0.141
Al 0.430 0.860 0.711
Al 0.570 0.140 0.289
Al 0.718 0.436 0.859
Ag 0.147 0.289 0.582
Ag 0.853 0.711 0.418
CELL_PARAMETERS angstrom
2.984 0.000 0.000
-1.478 4.661 0.000
-0.028 -0.936 8.456
```

Computed properties:
V = 118 Å³ per cell
M_tot = 0.0000 μB/atom


Relative energy of each structure, in kJ/mol of atoms: #i 3.6; #ii 0.0.